Hg2TeI8: relaxed, GGA-PBE.

Summary:
Magnetization (μB/f.u.): 0.00
Energy (hartree per atom): -0.0602
V (Å³ per cell): 1083.65
Uncorrected formation energy (kJ/mol of formula units): -181

Cell: 15.882 9.307 7.343 Å, 90.00 93.26 90.00°
Space group C2/m (No. 12)
Inequivalent atoms, fractional coordinates:
1 Hg 0.174 0.000 0.420 x4
2 Te 0.000 0.000 0.000 x2
3 I 0.071 0.230 0.252 x8
4 I 0.156 0.500 0.616 x4
5 I 0.164 0.000 0.818 x4